[1]
# Li2Bi5B3O13 | Alexandria via LeMat-Bulk | PBE-GGA | relaxed
data_Li2Bi5B3O13
_chemical_formula_sum 'Li4 Bi10 B6 O26'
_cell_length_a 11.004
_cell_length_b 3.710
_cell_length_c 16.141
_cell_angle_alpha 90.00
_cell_angle_beta 102.99
_cell_angle_gamma 90.00
_symmetry_space_group_name_H-M 'P 1 21/m 1'
_symmetry_Int_Tables_number 11
loop_
_symmetry_equiv_pos_as_xyz
'x,y,z'
'-x,-y,-z'
'-x,y+1/2,-z'
'x,-y+1/2,z'
loop_
_atom_site_label
_atom_site_fract_x
_atom_site_fract_y
_atom_site_fract_z
Li1 0.128 0.250 0.068
Li2 0.327 0.750 0.291
Bi1 0.032 0.250 0.292
Bi2 0.132 0.250 0.565
Bi3 0.315 0.250 0.805
Bi4 0.357 0.750 0.015
Bi5 0.451 0.750 0.605
B1 0.109 0.750 0.906
B2 0.274 0.750 0.424
B3 0.419 0.250 0.191
O1 0.007 0.750 0.570
O2 0.009 0.250 0.142
O3 0.097 0.250 0.710
O4 0.137 0.750 0.995
O5 0.189 0.750 0.347
O6 0.217 0.750 0.869
O7 0.240 0.750 0.502
O8 0.324 0.250 0.119
O9 0.363 0.250 0.654
O10 0.389 0.250 0.271
O11 0.401 0.750 0.424
O12 0.409 0.250 0.945
O13 0.455 0.750 0.813
# E_tot: -147.9 eV/f.u.

---

[2]
# Pm4Dy3Er2 | Alexandria via LeMat-Bulk | PBE-GGA | relaxed
data_Pm4Dy3Er2
_chemical_formula_sum 'Pm8 Dy6 Er4'
_cell_length_a 11.829
_cell_length_b 3.589
_cell_length_c 14.765
_cell_angle_alpha 90.00
_cell_angle_beta 111.53
_cell_angle_gamma 90.00
_symmetry_space_group_name_H-M 'C 1 2/m 1'
_symmetry_Int_Tables_number 12
loop_
_symmetry_equiv_pos_as_xyz
'x,y,z'
'-x,-y,-z'
'-x,y,-z'
'x,-y,z'
'x+1/2,y+1/2,z'
'-x+1/2,-y+1/2,-z'
'-x+1/2,y+1/2,-z'
'x+1/2,-y+1/2,z'
loop_
_atom_site_label
_atom_site_fract_x
_atom_site_fract_y
_atom_site_fract_z
Pm1 0.166 0.000 0.166
Pm2 0.221 0.500 0.388
Dy1 0.000 0.500 0.500
Dy2 0.112 0.500 0.944
Er1 0.056 0.000 0.723
# ΔE_f: 0.016 eV per atom
# E_tot: -41.8 eV/f.u.